Record 1
A PBEsol-optimized structure of K2NaHgN. Source: Alexandria via LeMat-Bulk, functional SCAN.

The structure in POSCAR format:
```
K2NaHgN
1.0
-1.7031 -4.7760 -2.5112
-1.9783 -2.2799 5.6777
-5.8042 2.5869 -0.9835
Na K Hg N
1 2 1 1
direct
0.5000 0.0000 0.0000
0.0000 0.0000 0.5000
0.0000 0.5000 0.0000
0.0000 0.0000 0.0000
0.5000 0.5000 0.5000
```

Results
Its space-group type is No. 123. The calculation puts the energy relative to the elements, uncorrected at 0.803 eV per atom. The calculation puts the total energy at -94.32 eV/cell.

=====

Record 2
A PBEsol-optimized structure of KHgNO2. Source: Alexandria via LeMat-Bulk, functional SCAN.

The structure in POSCAR format:
```
KHgNO2
1.0
-4.2468 -0.2082 0.1156
-0.0670 -0.9664 -4.2020
0.2319 -4.1972 0.9616
K Hg O N
1 1 2 1
direct
0.5000 0.5000 0.5000
0.0000 0.0000 0.0000
0.0000 0.0000 0.5000
0.0000 0.5000 0.0000
0.5000 0.0000 0.0000
```

Results
Its space-group type is No. 123. The calculation puts the energy relative to the elements, uncorrected at 0.462 eV per atom. The calculation puts the total energy at -95.94 eV/cell.

=====

Record 3
A PBEsol-optimized structure of KHg2PN. Source: Alexandria via LeMat-Bulk, functional SCAN.

The structure in POSCAR format:
```
KHg2PN
1.0
4.4850 0.0000 0.0000
0.0000 4.4850 0.0000
0.0000 0.0000 5.2301
P K Hg N
1 1 2 1
direct
0.5000 0.5000 0.5000
0.0000 0.0000 0.5000
0.0000 0.5000 0.0000
0.5000 0.0000 0.0000
0.0000 0.0000 0.0000
```

Results
Its space-group type is No. 123. The calculation puts the energy relative to the elements, uncorrected at 0.757 eV per atom. The calculation puts the total energy at -160.57 eV/cell.

=====

Record 4
A PBEsol-optimized structure of K2NaHg2. Source: Alexandria via LeMat-Bulk, functional SCAN.

The structure in POSCAR format:
```
K2NaHg2
1.0
3.5977 0.0000 0.0000
0.0000 9.9683 0.0000
0.0000 0.0000 9.9683
Na K Hg
2 4 4
direct
0.0000 0.0000 0.0000
0.0000 0.5000 0.5000
0.0000 0.3185 0.8185
0.0000 0.8185 0.6815
0.0000 0.6815 0.1815
0.0000 0.1815 0.3185
0.5000 0.1071 0.6071
0.5000 0.6071 0.8929
0.5000 0.8929 0.3929
0.5000 0.3929 0.1071
```

Results
Its space-group type is No. 127. The calculation puts the total energy at -316.08 eV/cell.

=====

Record 5
A PBEsol-optimized structure of KNaHg2. Source: Alexandria via LeMat-Bulk, functional SCAN.

The structure in POSCAR format:
```
KNaHg2
1.0
5.4853 0.0000 0.0000
2.7426 4.7504 0.0000
2.7426 1.5835 4.4787
Na K Hg
1 1 2
direct
0.0000 0.0000 0.0000
0.5000 0.5000 0.5000
0.2500 0.2500 0.2500
0.7500 0.7500 0.7500
```

Results
Its space-group type is No. 225. The calculation puts the total energy at -149.98 eV/cell.

=====

Record 6
A PBEsol-optimized structure of K2NaHg. Source: Alexandria via LeMat-Bulk, functional SCAN.

The structure in POSCAR format:
```
K2NaHg
1.0
6.0940 0.0000 0.0000
3.0470 5.2776 0.0000
3.0470 1.7592 4.9758
Na K Hg
1 2 1
direct
0.0000 0.0000 0.0000
0.2500 0.2500 0.2500
0.7500 0.7500 0.7500
0.5000 0.5000 0.5000
```

Results
Its space-group type is No. 225. The calculation puts the total energy at -89.49 eV/cell.

=====

Record 7
A PBEsol-optimized structure of K2NaHgPd. Source: Alexandria via LeMat-Bulk, functional SCAN.

The structure in POSCAR format:
```
K2NaHgPd
1.0
4.9338 0.0000 0.0000
0.0000 6.1818 0.0000
0.0000 0.0000 6.1818
Na K Hg Pd
1 2 1 1
direct
0.0000 0.0000 0.0000
0.0000 0.0000 0.5000
0.0000 0.5000 0.0000
0.5000 0.5000 0.5000
0.5000 0.0000 0.0000
```

Results
Its space-group type is No. 123. The calculation puts the total energy at -120.55 eV/cell.

=====

Record 8
A PBEsol-optimized structure of K2NiHg. Source: Alexandria via LeMat-Bulk, functional SCAN.

The structure in POSCAR format:
```
K2NiHg
1.0
3.1039 0.0000 0.0355
0.0000 4.2760 0.0000
-0.0965 0.0000 8.4437
Hg K Ni
1 2 1
direct
0.5000 0.5000 0.5000
0.0000 0.0000 0.7802
0.0000 0.0000 0.2198
0.5000 0.5000 0.0000
```

Results
Its space-group type is No. 47. The calculation puts the total energy at -99.31 eV/cell.